This record from Alexandria via LeMat-Bulk describes Th6Te3OsC2 after structural relaxation. The functional is PBE.

a = 3.9966 Å, b = 8.8461 Å, c = 9.7311 Å
α = 109.17°, β = 101.85°, γ = 90.00°
Last column: nearest neighbours and their distance in Å.
Element x y z (fractional)
Th 0.9814 0.7707 0.9628  1 C 2.75, 2 Os 2.78
Th 0.3179 0.4488 0.6358  3 C 2.62-2.72
Th 0.6643 0.1353 0.3286  2 C 2.65, 1 Os 2.95
Th 0.6821 0.5512 0.3642  3 C 2.62-2.72
Th 0.0186 0.2293 0.0372  1 C 2.75, 2 Os 2.78
Th 0.3357 0.8647 0.6714  2 C 2.65, 1 Os 2.95
Os 0.5000 0.0000 0.0000  6 Th 2.78-2.95
C 0.8281 0.6633 0.6562  6 Th 2.62-2.75
C 0.1719 0.3367 0.3438  6 Th 2.62-2.75
Te 0.8375 0.1678 0.6749  6 Th 3.21-3.33
Te 0.5000 0.5000 0.0000  6 Th 3.23-3.34
Te 0.1625 0.8322 0.3251  6 Th 3.21-3.33

The total energy comes out at -7.74 eV/atom.

=====

This record from Alexandria via LeMat-Bulk describes SmAl4Bi after structural relaxation. The functional is PBE.

a = 5.6599 Å, b = 5.6599 Å, c = 5.6599 Å
α = 60.00°, β = 60.00°, γ = 60.00°
Last column: nearest neighbours and their distance in Å.
Element x y z (fractional)
Sm 0.0000 0.0000 0.0000  12 Al 3.32, 4 Bi 3.47
Al 0.1250 0.6250 0.6250  6 Al 2.83
Al 0.6250 0.6250 0.6250  6 Al 2.83
Al 0.6250 0.1250 0.6250  6 Al 2.83
Al 0.6250 0.6250 0.1250  6 Al 2.83
Bi 0.2500 0.2500 0.2500  12 Al 3.32, 4 Sm 3.47

Its calculated formation energy is -173.4 meV/atom.

=====

Number 1: mass density 10414 kg/m³, D(E_F) 0.474 states/eV/atom. Number 2: mass density 6052 kg/m³, D(E_F) 0.828 states/eV/atom.